The following is a GGA-PBE calculation of NiSbBr2 after structural relaxation, from the Alexandria database.

E = -22.12 eV per cell
ΔE to the lowest computed polymorph = 81.9 kJ per mole of atoms
Energy relative to the elements, uncorrected = 2.19 eV per formula unit
N(E_F) = 9.8 states/eV per cell
Magnetic moment = 0.6 μB/cell

Structure (POSCAR):
```
NiSbBr2
1.0
5.018 0.000 0.000
0.000 5.018 0.000
0.000 0.000 7.066
Ni Sb Br
2 2 4
Direct
0.000 0.000 0.000
0.500 0.500 0.500
0.000 0.500 0.750
0.500 0.000 0.250
0.000 0.000 0.500
0.000 0.500 0.250
0.500 0.000 0.750
0.500 0.500 0.000
```